11
Lattice="4.520 0.000 0.000 -2.260 3.915 0.000 0.000 0.000 22.024" Properties=species:S:1:pos:R:3 comment="Ba3Sr2Zn4Ga2, relaxed, DFT GGA-PBE" final_energy_ev_per_atom=-2.013 sg="P-3m1, No. 164" ef_ev_per_atom=-0.169 m_tot_mub_per_fu=0.62 pbc="T T T"
Ba 0.000 0.000 0.000
Ba 0.000 0.000 4.919
Ba 0.000 0.000 17.105
Sr 0.000 2.610 12.779
Sr 2.260 1.305 9.245
Zn 0.000 2.610 7.263
Zn 0.000 2.610 19.515
Zn 2.260 1.305 2.509
Zn 2.260 1.305 14.761
Ga 0.000 2.610 2.558
Ga 2.260 1.305 19.466